(1)
The following is a GGA-PBE calculation of a relaxed structure of Mg2Ga3Ag, from Alexandria.

The space group is Fmmm (No. 69) and the conventional cell measures 6.324, 9.068 and 15.665 Å, with angles of 90.00, 90.00 and 90.00 degrees. The distinct sites, in fractional coordinates, are Mg at (0.246, 0.000, 0.000), Mg at (0.250, 0.250, 0.250), Ga at (0.000, 0.000, 0.337), Ga at (0.000, 0.250, 0.083) and Ag at (0.000, 0.000, 0.169).

Its polymorph energy (0 for the lowest one) is 3 meV per atom.

(2)
The following is a GGA-PBE calculation of a relaxed structure of NaVSbI2, from Alexandria.

The space group is P4/mmm (No. 123) and the conventional cell measures 5.782, 5.782 and 5.201 Å, with angles of 90.00, 90.00 and 90.00 degrees. The distinct sites, in fractional coordinates, are Na at (0.000, 0.000, 0.000), V at (0.500, 0.500, 0.500), Sb at (0.500, 0.500, 0.000) and I at (0.000, 0.500, 0.500).

For the raw total energy, the calculation gives -3.675 eV/atom.

(3)
The following is a GGA-PBE calculation of a relaxed structure of Tb2Pm3Nd4, from Alexandria.

The space group is P-1 (No. 2) and the conventional cell measures 6.312, 6.313 and 9.636 Å, with angles of 70.97, 89.99 and 60.03 degrees. The distinct sites, in fractional coordinates, are Tb at (0.221, 0.223, 0.165), Pm at (0.000, 0.000, 0.500), Pm at (0.444, 0.445, 0.835), Nd at (0.111, 0.111, 0.834) and Nd at (0.334, 0.332, 0.500).

Its polymorph energy (0 for the lowest one) is 0 meV per atom.

| no. | magnetic moment (μB per cell) |
| --- | --- |
| 1 | 0.0 |
| 2 | 1.4 |
| 3 | 0.0 |